Entry 1:
PBE Y2HoSc12, optimized geometry; energy of formation from the pure elements = 169 meV per atom; total moment = 0.0 μB per cell
1.0
6.056 -1.388 0.000
-1.388 6.056 0.000
0.000 0.000 22.895
Y Ho Sc
4 2 24
Cartesian
3.028 -0.694 6.222 Y
-0.694 3.028 6.250 Y
-0.694 3.028 16.673 Y
3.028 -0.694 16.645 Y
3.028 -0.694 22.886 Ho
-0.694 3.028 0.008 Ho
2.334 2.334 18.274 Sc
0.000 0.000 18.274 Sc
3.506 3.496 20.999 Sc
0.474 4.196 19.876 Sc
0.000 0.000 7.591 Sc
0.472 4.195 3.019 Sc
4.211 0.489 13.309 Sc
2.334 2.334 7.591 Sc
1.162 1.172 20.999 Sc
3.496 3.506 1.896 Sc
1.197 1.137 12.823 Sc
4.179 0.457 9.586 Sc
0.000 0.000 15.303 Sc
1.137 1.197 10.071 Sc
1.172 1.162 1.896 Sc
3.531 3.472 10.071 Sc
3.472 3.531 12.823 Sc
0.000 0.000 4.620 Sc
0.457 4.179 13.309 Sc
2.334 2.334 15.303 Sc
4.195 0.472 19.876 Sc
2.334 2.334 4.620 Sc
0.489 4.211 9.586 Sc
4.196 0.474 3.019 Sc

---

Entry 2:
PBE Y4Ho3Sc2, optimized geometry; energy of formation from the pure elements = 67 meV per atom; total moment = 0.0 μB per cell
1.0
-4.643 4.770 -1.671
0.711 -2.529 -9.223
-5.675 -6.801 -3.675
Y Ho Sc
8 6 4
Cartesian
-2.769 -1.027 -9.360 Y
-0.270 -3.076 -8.063 Y
-6.838 -3.533 -5.208 Y
-9.337 -1.484 -6.506 Y
-7.469 0.829 -5.082 Y
-6.728 -4.522 -8.350 Y
-2.138 -5.389 -9.486 Y
-2.879 -0.038 -6.218 Y
-4.347 1.952 -3.500 Ho
-7.582 -4.127 -11.904 Ho
-5.260 -6.512 -11.069 Ho
-2.025 -0.433 -2.664 Ho
-3.643 -3.472 -6.867 Ho
-5.964 -1.088 -7.702 Ho
-4.924 -1.307 -4.159 Sc
-4.346 -6.965 -7.850 Sc
-4.683 -3.253 -10.409 Sc
-5.261 2.405 -6.718 Sc

---

Entry 3:
PBE YHo4Sc4, optimized geometry; energy of formation from the pure elements = 55 meV per atom; total moment = 0.0 μB per cell
1.0
4.809 0.000 0.000
2.404 7.251 0.000
2.404 0.000 7.251
Y Ho Sc
1 4 4
Cartesian
0.000 0.000 0.000 Y
4.809 2.391 2.390 Ho
4.809 4.861 4.861 Ho
7.213 4.861 2.391 Ho
2.404 2.390 4.861 Ho
7.213 4.825 7.251 Sc
2.404 2.426 0.000 Sc
4.809 0.000 4.825 Sc
4.809 7.251 2.426 Sc

---

Entry 4:
PBE Y3Ho5Sc2, optimized geometry; energy of formation from the pure elements = 202 meV per atom; total moment = 0.0 μB per cell
1.0
-0.123 3.516 -8.484
-4.401 -5.714 -5.712
-4.519 4.722 8.698
Y Ho Sc
6 10 4
Cartesian
-8.753 -0.218 0.818 Y
-0.290 2.743 -6.316 Y
-3.364 1.063 -6.717 Y
-5.679 1.462 1.219 Y
-4.599 -3.149 -2.411 Y
-4.444 5.673 -3.087 Y
-2.530 -1.818 -4.907 Ho
-6.513 4.343 -0.592 Ho
-6.011 -1.683 0.171 Ho
-3.845 2.917 -1.221 Ho
-3.031 4.208 -5.670 Ho
-5.198 -0.393 -4.277 Ho
-5.985 2.893 -4.432 Ho
-3.058 -0.369 -1.067 Ho
-3.747 4.033 2.471 Ho
-5.296 -1.508 -7.970 Ho
-3.429 6.062 -0.225 Sc
-5.614 -3.537 -5.274 Sc
-6.497 0.967 -1.690 Sc
-2.546 1.557 -3.808 Sc

---

Entry 5:
PBE YHo7Sc3, optimized geometry; energy of formation from the pure elements = 140 meV per atom; total moment = 0.0 μB per cell
1.0
-5.999 5.916 1.515
-3.769 -4.672 -7.413
0.843 -4.675 2.516
Y Ho Sc
1 7 3
Cartesian
-4.463 -1.716 -1.691 Y
-8.043 -2.695 -2.310 Ho
-7.029 0.408 -2.627 Ho
-4.859 1.840 -0.694 Ho
-4.066 -5.272 -2.687 Ho
-2.578 0.620 2.016 Ho
-1.896 -3.839 -0.754 Ho
-0.882 -0.736 -1.071 Ho
-0.819 -2.147 2.028 Sc
-1.885 -2.336 -3.706 Sc
-8.107 -1.285 -5.410 Sc

---

Entry 6:
PBE YHoSc2, optimized geometry; energy of formation from the pure elements = 65 meV per atom; total moment = 0.0 μB per cell
1.0
3.422 0.000 0.000
1.711 2.964 0.000
1.711 0.988 10.987
Y Sc Ho
1 2 1
Cartesian
3.422 1.976 5.494 Y
5.133 2.964 8.260 Sc
1.711 0.988 2.727 Sc
0.000 0.000 0.000 Ho

---

Entry 7:
PBE Y12Ho7Sc, optimized geometry; energy of formation from the pure elements = 174 meV per atom; total moment = 0.0 μB per cell
1.0
-6.919 -4.618 -4.020
7.292 -0.351 -5.662
2.240 -4.472 7.768
Y Ho Sc
12 7 1
Cartesian
-1.766 -6.488 -0.257 Y
-1.385 -4.212 -3.313 Y
-1.653 -3.219 0.352 Y
-0.035 -7.245 -3.090 Y
0.350 -4.915 2.521 Y
1.610 -7.634 1.078 Y
1.003 -1.806 -2.991 Y
2.263 -4.526 -4.435 Y
2.648 -2.196 1.176 Y
4.266 -6.222 -2.266 Y
3.998 -5.229 1.399 Y
4.378 -2.953 -1.657 Y
4.326 -0.710 -4.282 Ho
7.135 -5.819 0.083 Ho
0.356 -6.324 -6.683 Ho
1.306 -4.720 -0.957 Ho
2.257 -3.117 4.769 Ho
-4.522 -3.622 -1.997 Ho
-1.713 -8.731 2.368 Ho
0.000 0.000 0.000 Sc

---

Entry 8:
PBE YHo5Sc6, optimized geometry; energy of formation from the pure elements = 59 meV per atom; total moment = 0.0 μB per cell
1.0
-1.106 3.091 10.638
-5.560 -1.734 1.018
-1.075 -5.449 2.017
Y Ho Sc
1 5 6
Cartesian
0.000 0.000 0.000 Y
-2.196 -2.377 6.834 Ho
-2.211 -2.394 1.012 Ho
-3.333 0.678 5.828 Ho
-4.423 -4.789 2.023 Ho
-5.544 -1.716 6.840 Ho
-1.650 0.350 8.732 Sc
-3.876 -2.058 3.933 Sc
-1.674 0.339 2.922 Sc
-4.992 1.018 8.735 Sc
-3.865 -2.035 9.740 Sc
-6.090 -4.443 4.942 Sc

---

Entry 9:
PBE Y3Ho2Sc3, optimized geometry; energy of formation from the pure elements = 234 meV per atom; total moment = 5.8 μB per cell
1.0
-3.767 -4.517 -2.099
3.557 -1.372 -4.946
3.123 -3.724 3.921
Y Ho Sc
3 2 3
Cartesian
3.228 -4.046 -2.250 Y
-0.159 -3.574 -1.314 Y
1.301 -6.799 -1.121 Y
2.287 -4.267 1.170 Ho
0.626 -5.345 -4.294 Ho
1.913 -2.078 -4.307 Sc
1.500 -1.144 -0.230 Sc
-0.500 -6.390 1.413 Sc

---

Entry 10:
PBE Y7Ho4Sc, optimized geometry; energy of formation from the pure elements = 233 meV per atom; total moment = 0.8 μB per cell
1.0
5.797 0.000 0.000
2.899 8.871 1.846
2.899 1.804 7.848
Y Ho Sc
7 4 1
Cartesian
8.696 8.733 5.941 Y
2.899 1.942 3.754 Y
2.899 5.584 3.227 Y
8.696 5.091 6.467 Y
5.797 8.386 7.836 Y
2.899 0.000 0.000 Y
5.797 2.290 1.858 Y
5.797 3.656 4.842 Ho
5.797 7.020 4.853 Ho
5.797 5.465 1.448 Ho
5.797 5.210 8.247 Ho
0.000 0.000 0.000 Sc

---

Entry 11:
PBE Y4Ho2Sc3, optimized geometry; energy of formation from the pure elements = 52 meV per atom; total moment = 0.0 μB per cell
1.0
4.846 0.000 0.000
0.000 7.760 0.700
-2.423 -2.936 6.740
Y Ho Sc
4 2 3
Cartesian
2.423 2.273 0.934 Y
2.423 3.555 4.187 Y
0.000 2.551 6.505 Y
0.000 1.269 3.252 Y
0.000 -1.962 4.524 Ho
2.423 6.786 2.916 Ho
2.423 0.271 5.484 Sc
0.000 4.553 1.955 Sc
0.000 0.000 0.000 Sc

---

Entry 12:
PBE Y12HoSc2, optimized geometry; energy of formation from the pure elements = 126 meV per atom; total moment = 0.0 μB per cell
1.0
-0.415 3.449 -4.887
1.759 -3.399 -4.616
-22.408 -20.438 -3.278
Y Ho Sc
24 2 4
Cartesian
-17.677 -15.334 -7.429 Y
-16.590 -18.758 -7.293 Y
-18.523 -17.589 -9.984 Y
-20.032 -19.864 -7.786 Y
-5.537 -9.522 -5.681 Y
0.056 -3.947 -4.860 Y
-12.177 -9.782 -6.621 Y
-6.624 -6.098 -5.816 Y
-19.195 -17.614 -5.232 Y
-1.869 -2.773 -7.549 Y
-13.693 -12.064 -4.424 Y
-9.974 -7.182 -6.296 Y
-15.527 -10.865 -7.101 Y
-8.043 -8.348 -3.605 Y
-2.541 -2.799 -2.798 Y
-7.371 -8.323 -8.357 Y
-13.021 -12.039 -9.176 Y
-4.474 -1.629 -5.488 Y
-11.089 -13.206 -6.486 Y
-14.440 -14.289 -6.965 Y
-21.120 -16.440 -7.921 Y
-3.387 -5.053 -5.353 Y
-8.887 -10.606 -6.160 Y
-1.031 -0.523 -4.995 Y
-0.208 1.725 -2.444 Ho
0.880 -1.699 -2.308 Ho
-5.876 -3.873 -3.275 Sc
-5.204 -3.848 -8.027 Sc
-15.860 -16.540 -4.755 Sc
-15.188 -16.514 -9.506 Sc

---

Entry 13:
PBE Y5Ho3Sc2, optimized geometry; energy of formation from the pure elements = 46 meV per atom; total moment = 0.0 μB per cell
1.0
-3.755 0.997 8.381
-5.718 -3.154 -6.535
6.759 -6.271 0.868
Y Ho Sc
10 6 4
Cartesian
2.758 -7.427 -1.120 Y
-5.472 -1.000 3.833 Y
-4.851 -4.350 3.100 Y
-0.129 -3.245 2.180 Y
2.137 -4.078 -0.387 Y
-2.585 -5.183 0.533 Y
-1.827 -5.809 3.914 Y
-0.886 -2.619 -1.201 Y
2.984 -4.718 2.979 Y
-5.697 -3.709 -0.265 Y
-6.465 -3.051 -3.628 Ho
3.752 -5.377 6.342 Ho
-3.174 -1.796 1.344 Ho
0.461 -6.632 1.370 Ho
-3.377 -4.519 -2.809 Ho
0.664 -3.909 5.522 Ho
5.251 -5.556 0.456 Sc
-7.965 -2.872 2.258 Sc
-0.300 -5.971 -1.962 Sc
-2.414 -2.457 4.676 Sc

---

Entry 14:
PBE Y3Ho6Sc, optimized geometry; energy of formation from the pure elements = 138 meV per atom; total moment = 0.0 μB per cell
1.0
-0.643 -0.507 6.045
-9.333 -5.407 -1.447
9.397 -5.464 0.542
Y Ho Sc
6 12 2
Cartesian
-2.302 -9.288 1.791 Y
1.498 -9.554 5.251 Y
2.071 -5.476 0.176 Y
-2.416 -5.717 2.757 Y
1.456 -2.300 5.855 Y
-2.345 -2.034 2.395 Y
-0.859 -7.238 -0.485 Ho
0.577 -7.497 2.724 Ho
3.764 -8.322 1.935 Ho
-4.457 -8.551 4.118 Ho
-8.683 -5.630 1.274 Ho
3.744 -5.771 3.837 Ho
-4.179 -5.493 -0.061 Ho
7.867 -5.934 6.088 Ho
3.733 -2.941 2.383 Ho
-4.489 -3.171 4.566 Ho
-0.880 -3.663 -0.187 Ho
0.556 -3.922 3.022 Ho
5.413 -5.522 0.962 Sc
-5.848 -5.742 2.822 Sc

---

Entry 15:
PBE Y3Ho4Sc, optimized geometry; energy of formation from the pure elements = 91 meV per atom; total moment = 0.0 μB per cell
1.0
7.807 0.000 -4.094
-2.147 7.506 -4.094
-0.353 -0.468 8.817
Y Sc Ho
6 2 8
Cartesian
4.068 5.395 -1.732 Y
1.238 1.642 2.362 Y
5.891 2.635 -4.922 Y
-0.231 4.871 -3.266 Y
3.239 6.388 -6.141 Y
2.421 1.118 -2.047 Y
0.000 0.000 0.000 Sc
2.830 3.753 -4.094 Sc
1.440 7.086 -0.097 Ho
-0.255 4.838 2.355 Ho
4.079 3.333 1.129 Ho
7.060 1.085 1.129 Ho
3.867 -0.048 0.726 Ho
5.562 2.200 -1.726 Ho
1.228 3.705 -0.500 Ho
-1.753 5.953 -0.500 Ho

---

Entry 16:
PBE Y3HoSc, optimized geometry; energy of formation from the pure elements = 172 meV per atom; total moment = 0.0 μB per cell
1.0
3.495 0.000 0.000
0.000 10.485 0.000
0.000 0.000 17.264
Y Ho Sc
12 4 4
Cartesian
2.607 5.243 12.948 Y
0.888 0.000 4.316 Y
0.888 5.243 4.316 Y
2.607 0.000 12.948 Y
0.867 5.885 15.939 Y
0.867 4.600 9.956 Y
2.628 0.642 1.324 Y
2.628 9.843 7.307 Y
0.867 0.642 9.956 Y
0.867 9.843 15.939 Y
2.628 5.885 7.307 Y
2.628 4.600 1.324 Y
2.604 2.621 15.482 Ho
2.604 7.864 10.413 Ho
0.891 7.864 1.781 Ho
0.891 2.621 6.851 Ho
2.640 2.621 3.937 Sc
2.640 7.864 4.695 Sc
0.854 7.864 13.327 Sc
0.854 2.621 12.569 Sc

---

Entry 17:
PBE YHo5Sc3, optimized geometry; energy of formation from the pure elements = 175 meV per atom; total moment = 0.0 μB per cell
1.0
-5.768 -7.077 -1.821
9.408 -2.390 3.287
-3.814 1.742 5.310
Y Ho Sc
2 10 6
Cartesian
-6.710 -3.417 2.767 Y
-2.872 -1.918 0.722 Y
-4.608 -0.838 3.431 Ho
-0.626 -4.795 5.447 Ho
-3.206 -7.454 0.160 Ho
0.452 -2.931 1.330 Ho
1.263 -5.653 2.801 Ho
-4.974 -4.498 0.058 Ho
4.958 -1.154 3.953 Ho
-5.132 -6.572 2.824 Ho
-1.437 -2.073 3.975 Ho
3.033 -0.272 6.617 Ho
0.000 0.000 0.000 Sc
-2.157 -4.982 2.274 Sc
-1.907 0.871 2.655 Sc
1.983 -2.744 4.503 Sc
-4.034 -4.075 4.938 Sc
3.860 -3.651 1.839 Sc